Computed, not measured: an optimized crystal structure of VGe2HO6 at the PBE with a Hubbard U level of DFT.

Calculated values
* VASP energy: -6.471 eV/atom
* magnetization: 2.00 μB/f.u.
* space group: C2/c

Cell lengths 6.8394, 6.8394, 5.1359 Å; angles 107.21, 107.21, 85.81 degrees
Last column: nearest neighbours and their distance in Å.
Sites, in units of the cell vectors:
V (0.1001, 0.8999, 0.7500)  4 O 1.95-2.17
V (0.8999, 0.1001, 0.2500)  4 O 1.95-2.17
Ge (0.2308, 0.4093, 0.8143)  4 O 1.77-1.79
Ge (0.4093, 0.2308, 0.3143)  4 O 1.77-1.79
Ge (0.5907, 0.7692, 0.6857)  4 O 1.77-1.79
Ge (0.7692, 0.5907, 0.1857)  4 O 1.77-1.79
H (0.2578, 0.7422, 0.2500)  2 O 1.29
H (0.7422, 0.2578, 0.7500)  2 O 1.29
O (0.0635, 0.1892, 0.6480)  1 Ge 1.79, 1 V 1.95
O (0.1651, 0.6600, 0.9835)  1 H 1.29
O (0.1892, 0.0635, 0.1480)  1 Ge 1.79, 1 V 1.95
O (0.3013, 0.4391, 0.5218)  2 Ge 1.77-1.78
O (0.3400, 0.8349, 0.5165)  1 H 1.29
O (0.4391, 0.3013, 0.0218)  2 Ge 1.77-1.78
O (0.5609, 0.6987, 0.9782)  2 Ge 1.77-1.78
O (0.6600, 0.1651, 0.4835)  1 H 1.29
O (0.6987, 0.5609, 0.4782)  2 Ge 1.77-1.78
O (0.8108, 0.9365, 0.8520)  1 Ge 1.79, 1 V 1.95
O (0.8349, 0.3400, 0.0165)  1 H 1.29
O (0.9365, 0.8108, 0.3520)  1 Ge 1.79, 1 V 1.95